# PBE-GGA LiHo2ThTe4, relaxed
# E_form (uncorrected) (eV/atom): -1.20
# Volume (Å³/cell): 234.9
data_LiHo2ThTe4
_chemical_formula_sum 'Li1 Ho2 Th1 Te4'
_space_group_name_H-M_alt 'P 1 2/m 1'
_space_group_IT_number 10
_cell_length_a 7.4871
_cell_length_b 4.3138
_cell_length_c 7.6779
_cell_angle_alpha 90.00
_cell_angle_beta 108.71
_cell_angle_gamma 90.00
loop_
_space_group_symop_operation_xyz
'x,y,z'
'-x,-y,-z'
'-x,y,-z'
'x,-y,z'
loop_
_atom_site_label
_atom_site_type_symbol
_atom_site_fract_x
_atom_site_fract_y
_atom_site_fract_z
_atom_site_occupancy
Li1 Li 0.0000 0.0000 0.0000 1
Ho1 Ho 0.5000 0.0000 0.5000 1
Ho2 Ho 0.5000 0.5000 0.0000 1
Th1 Th 0.0000 0.5000 0.5000 1
Te1 Te 0.2484 0.5000 0.2407 1
Te2 Te 0.2530 0.0000 0.7646 1

# PBE-GGA Tb3HPt8, relaxed
# Volume (Å³/cell): 677.4
# Electronic total energy (eV for the cell shown): -229.1
data_Tb3HPt8
_chemical_formula_sum 'Tb9 H3 Pt24'
_space_group_name_H-M_alt 'R 3 m'
_space_group_IT_number 160
_space_group_name_Hall 'R 3 -2"'
_cell_length_a 5.4362
_cell_length_b 5.4362
_cell_length_c 26.4668
_cell_angle_alpha 90.00
_cell_angle_beta 90.00
_cell_angle_gamma 120.00
loop_
_atom_site_label
_atom_site_type_symbol
_atom_site_fract_x
_atom_site_fract_y
_atom_site_fract_z
_atom_site_occupancy
Tb1 Tb 0.0000 0.0000 0.0000 1
Tb2 Tb 0.0000 0.0000 0.1317 1
Tb3 Tb 0.0000 0.0000 0.5244 1
H1 H 0.0000 0.0000 0.7066 1
Pt1 Pt 0.0000 0.0000 0.3212 1
Pt2 Pt 0.0000 0.0000 0.8223 1
Pt3 Pt 0.0085 0.5043 0.0733 1
Pt4 Pt 0.1689 0.3379 0.9043 1

# PBE-GGA NaMgAu2, relaxed
# Volume (Å³/cell): 76.7
# Formation energy from the elements (eV per atom): -0.41
data_NaMgAu2
_chemical_formula_sum 'Na1 Mg1 Au2'
_space_group_name_H-M_alt 'P 4/m m m'
_space_group_IT_number 123
_space_group_name_Hall '-P 4 2'
_cell_length_a 4.9812
_cell_length_b 4.9812
_cell_length_c 3.0926
_cell_angle_alpha 90.00
_cell_angle_beta 90.00
_cell_angle_gamma 90.00
loop_
_atom_site_label
_atom_site_type_symbol
_atom_site_fract_x
_atom_site_fract_y
_atom_site_fract_z
_atom_site_occupancy
Na1 Na 0.0000 0.0000 0.0000 1
Mg1 Mg 0.5000 0.5000 0.0000 1
Au1 Au 0.0000 0.5000 0.5000 1

# PBE-GGA VPd4Au3, relaxed
# Volume (Å³/cell): 258.7
# Formation energy from the elements (eV per atom): -0.11
data_VPd4Au3
_chemical_formula_sum 'V2 Pd8 Au6'
_space_group_name_H-M_alt 'P m m a'
_space_group_IT_number 51
_cell_length_a 9.2441
_cell_length_b 5.8150
_cell_length_c 4.8135
_cell_angle_alpha 90.00
_cell_angle_beta 90.00
_cell_angle_gamma 90.00
loop_
_space_group_symop_operation_xyz
'x,y,z'
'-x,-y,-z'
'-x+1/2,-y,z'
'x+1/2,y,-z'
'x+1/2,-y,-z'
'-x+1/2,y,z'
'-x,y,-z'
'x,-y,z'
loop_
_atom_site_label
_atom_site_type_symbol
_atom_site_fract_x
_atom_site_fract_y
_atom_site_fract_z
_atom_site_occupancy
V1 V 0.0000 0.0000 0.0000 1
Pd1 Pd 0.0000 0.2402 0.5000 1
Pd2 Pd 0.2500 0.2424 0.1425 1
Au1 Au 0.0000 0.5000 0.0000 1
Au2 Au 0.2500 0.0000 0.6478 1
Au3 Au 0.2500 0.5000 0.6383 1

# PBE-GGA TmTaRu, relaxed
# Volume (Å³/cell): 114.7
# Formation energy from the elements (eV per atom): -0.20
# Excess energy over the best structure of this formula in the dataset (meV/atom): 0
data_TmTaRu
_chemical_formula_sum 'Tm2 Ta2 Ru2'
_space_group_name_H-M_alt 'I 4 m m'
_space_group_IT_number 107
_space_group_name_Hall 'I 4 -2'
_cell_length_a 3.2444
_cell_length_b 3.2444
_cell_length_c 10.8931
_cell_angle_alpha 90.00
_cell_angle_beta 90.00
_cell_angle_gamma 90.00
loop_
_atom_site_label
_atom_site_type_symbol
_atom_site_fract_x
_atom_site_fract_y
_atom_site_fract_z
_atom_site_occupancy
Tm1 Tm 0.0000 0.0000 0.0000 1
Ta1 Ta 0.0000 0.0000 0.3049 1
Ru1 Ru 0.0000 0.0000 0.6764 1

# PBE-GGA K3PbAu, relaxed
# Volume (Å³/cell): 240.7
# Formation energy from the elements (eV per atom): 0.01
# Excess energy over the best structure of this formula in the dataset (meV/atom): 165
data_K3PbAu
_chemical_formula_sum 'K3 Pb1 Au1'
_space_group_name_H-M_alt 'P m -3 m'
_space_group_IT_number 221
_space_group_name_Hall '-P 4 2 3'
_cell_length_a 6.2206
_cell_length_b 6.2206
_cell_length_c 6.2206
_cell_angle_alpha 90.00
_cell_angle_beta 90.00
_cell_angle_gamma 90.00
loop_
_atom_site_label
_atom_site_type_symbol
_atom_site_fract_x
_atom_site_fract_y
_atom_site_fract_z
_atom_site_occupancy
K1 K 0.0000 0.0000 0.5000 1
Pb1 Pb 0.5000 0.5000 0.5000 1
Au1 Au 0.0000 0.0000 0.0000 1

# PBE-GGA Ti5Re4Pt, relaxed
# Volume (Å³/cell): 152.8
# Formation energy from the elements (eV per atom): -0.55
data_Ti5Re4Pt
_chemical_formula_sum 'Ti5 Re4 Pt1'
_space_group_name_H-M_alt 'P 4/m m m'
_space_group_IT_number 123
_space_group_name_Hall '-P 4 2'
_cell_length_a 3.1361
_cell_length_b 3.1361
_cell_length_c 15.5365
_cell_angle_alpha 90.00
_cell_angle_beta 90.00
_cell_angle_gamma 90.00
loop_
_atom_site_label
_atom_site_type_symbol
_atom_site_fract_x
_atom_site_fract_y
_atom_site_fract_z
_atom_site_occupancy
Ti1 Ti 0.0000 0.0000 0.0000 1
Ti2 Ti 0.0000 0.0000 0.1994 1
Ti3 Ti 0.0000 0.0000 0.3943 1
Re1 Re 0.5000 0.5000 0.0997 1
Re2 Re 0.5000 0.5000 0.3011 1
Pt1 Pt 0.5000 0.5000 0.5000 1

# PBE-GGA LaPu2Ir9, relaxed
# Volume (Å³/cell): 650.3
# Formation energy from the elements (eV per atom): -0.46
data_LaPu2Ir9
_chemical_formula_sum 'La3 Pu6 Ir27'
_space_group_name_H-M_alt 'R -3 m'
_space_group_IT_number 166
_space_group_name_Hall '-R 3 2"'
_cell_length_a 5.3438
_cell_length_b 5.3438
_cell_length_c 26.2956
_cell_angle_alpha 90.00
_cell_angle_beta 90.00
_cell_angle_gamma 120.00
loop_
_atom_site_label
_atom_site_type_symbol
_atom_site_fract_x
_atom_site_fract_y
_atom_site_fract_z
_atom_site_occupancy
La1 La 0.0000 0.0000 0.0000 1
Pu1 Pu 0.0000 0.0000 0.1401 1
Ir1 Ir 0.0000 0.0000 0.3333 1
Ir2 Ir 0.0000 0.0000 0.5000 1
Ir3 Ir 0.0025 0.5012 0.9165 1